# PBE Ba4LaTl, optimized geometry
data_Ba4LaTl
_chemical_formula_sum 'Ba4 La1 Tl1'
_space_group_name_H-M_alt 'P 1'
_space_group_IT_number 1
_cell_length_a 7.522
_cell_length_b 7.522
_cell_length_c 7.522
_cell_angle_alpha 60.00
_cell_angle_beta 60.00
_cell_angle_gamma 60.00
loop_
_space_group_symop_operation_xyz
'x,y,z'
loop_
_atom_site_label
_atom_site_fract_x
_atom_site_fract_y
_atom_site_fract_z
Ba1 0.125 0.125 0.125
Ba2 0.125 0.125 0.625
Ba3 0.125 0.625 0.125
Ba4 0.625 0.125 0.125
La1 0.750 0.750 0.750
Tl1 0.500 0.500 0.500
# ΔE_f = 362 meV per atom
# Final energy = -12.81 eV/cell

# PBE Pr3Sm8Dy2, optimized geometry
data_Pr3Sm8Dy2
_chemical_formula_sum 'Pr3 Sm8 Dy2'
_space_group_name_H-M_alt 'P 1'
_space_group_IT_number 1
_cell_length_a 9.241
_cell_length_b 9.241
_cell_length_c 5.786
_cell_angle_alpha 104.99
_cell_angle_beta 104.99
_cell_angle_gamma 73.30
loop_
_space_group_symop_operation_xyz
'x,y,z'
loop_
_atom_site_label
_atom_site_fract_x
_atom_site_fract_y
_atom_site_fract_z
Pr1 0.000 0.000 0.000
Pr2 0.244 0.756 0.500
Pr3 0.756 0.244 0.500
Sm1 0.057 0.597 0.833
Sm2 0.169 0.169 0.622
Sm3 0.403 0.943 0.167
Sm4 0.425 0.425 0.757
Sm5 0.575 0.575 0.243
Sm6 0.597 0.057 0.833
Sm7 0.831 0.831 0.378
Sm8 0.943 0.403 0.167
Dy1 0.329 0.329 0.194
Dy2 0.671 0.671 0.806
# ΔE_f = 177 meV per atom
# Final energy = -59.00 eV/cell

# PBE Ac6Tl5Sb, optimized geometry
data_Ac6Tl5Sb
_chemical_formula_sum 'Ac6 Tl5 Sb1'
_space_group_name_H-M_alt 'P 1'
_space_group_IT_number 1
_cell_length_a 10.163
_cell_length_b 10.163
_cell_length_c 5.847
_cell_angle_alpha 106.69
_cell_angle_beta 106.69
_cell_angle_gamma 120.87
loop_
_space_group_symop_operation_xyz
'x,y,z'
loop_
_atom_site_label
_atom_site_fract_x
_atom_site_fract_y
_atom_site_fract_z
Ac1 0.081 0.407 0.744
Ac2 0.240 0.240 0.240
Ac3 0.407 0.081 0.744
Ac4 0.593 0.919 0.256
Ac5 0.760 0.760 0.760
Ac6 0.919 0.593 0.256
Tl1 0.177 0.823 0.000
Tl2 0.336 0.664 0.500
Tl3 0.500 0.500 0.000
Tl4 0.664 0.336 0.500
Tl5 0.823 0.177 0.000
Sb1 0.000 0.000 0.500
# Final energy = -46.00 eV/cell
# Formation energy from raw total energies = -0.45 eV per atom

# PBE Li5TmS4, optimized geometry
data_Li5TmS4
_chemical_formula_sum 'Li5 Tm1 S4'
_space_group_name_H-M_alt 'P 1'
_space_group_IT_number 1
_cell_length_a 7.822
_cell_length_b 7.822
_cell_length_c 7.822
_cell_angle_alpha 151.29
_cell_angle_beta 126.35
_cell_angle_gamma 61.98
loop_
_space_group_symop_operation_xyz
'x,y,z'
loop_
_atom_site_label
_atom_site_fract_x
_atom_site_fract_y
_atom_site_fract_z
Li1 0.000 0.000 0.000
Li2 0.109 0.322 0.788
Li3 0.466 0.678 0.788
Li4 0.534 0.322 0.212
Li5 0.891 0.678 0.212
Tm1 0.500 0.000 0.500
S1 0.237 0.500 0.737
S2 0.293 0.793 0.500
S3 0.707 0.207 0.500
S4 0.763 0.500 0.263
# Final energy = -45.65 eV/cell
# Formation energy from raw total energies = -1.51 eV per atom

# PBE Si3Cl, optimized geometry
data_Si3Cl
_chemical_formula_sum 'Si3 Cl1'
_space_group_name_H-M_alt 'P 1'
_space_group_IT_number 1
_cell_length_a 3.542
_cell_length_b 3.542
_cell_length_c 7.057
_cell_angle_alpha 90.00
_cell_angle_beta 90.00
_cell_angle_gamma 120.00
loop_
_space_group_symop_operation_xyz
'x,y,z'
loop_
_atom_site_label
_atom_site_fract_x
_atom_site_fract_y
_atom_site_fract_z
Si1 0.000 0.000 0.000
Si2 0.667 0.333 0.195
Si3 0.667 0.333 0.805
Cl1 0.000 0.000 0.500
# Final energy = -16.77 eV/cell
# Formation energy from raw total energies = 0.34 eV per atom

# PBE SiRuW3, optimized geometry
data_SiRuW3
_chemical_formula_sum 'Si1 Ru1 W3'
_space_group_name_H-M_alt 'P 1'
_space_group_IT_number 1
_cell_length_a 4.432
_cell_length_b 4.432
_cell_length_c 4.432
_cell_angle_alpha 90.00
_cell_angle_beta 90.00
_cell_angle_gamma 90.00
loop_
_space_group_symop_operation_xyz
'x,y,z'
loop_
_atom_site_label
_atom_site_fract_x
_atom_site_fract_y
_atom_site_fract_z
Si1 0.000 0.000 0.000
Ru1 0.500 0.500 0.500
W1 0.000 0.000 0.500
W2 0.000 0.500 0.000
W3 0.500 0.000 0.000
# Final energy = -46.59 eV/cell
# Formation energy from raw total energies = 1.39 eV per atom

# PBE PmPr4Rh4, optimized geometry
data_PmPr4Rh4
_chemical_formula_sum 'Pm2 Pr8 Rh8'
_space_group_name_H-M_alt 'P 1'
_space_group_IT_number 1
_cell_length_a 9.038
_cell_length_b 9.038
_cell_length_c 5.846
_cell_angle_alpha 90.00
_cell_angle_beta 90.00
_cell_angle_gamma 90.00
loop_
_space_group_symop_operation_xyz
'x,y,z'
loop_
_atom_site_label
_atom_site_fract_x
_atom_site_fract_y
_atom_site_fract_z
Pm1 0.250 0.250 0.250
Pm2 0.750 0.750 0.750
Pr1 0.061 0.664 0.163
Pr2 0.164 0.939 0.663
Pr3 0.336 0.561 0.663
Pr4 0.439 0.836 0.163
Pr5 0.561 0.164 0.837
Pr6 0.664 0.439 0.337
Pr7 0.836 0.061 0.337
Pr8 0.939 0.336 0.837
Rh1 0.027 0.628 0.655
Rh2 0.128 0.973 0.155
Rh3 0.372 0.527 0.155
Rh4 0.473 0.872 0.655
Rh5 0.527 0.128 0.345
Rh6 0.628 0.473 0.845
Rh7 0.872 0.027 0.845
Rh8 0.973 0.372 0.345
# ΔE_f = -540 meV per atom
# Final energy = -116.27 eV/cell

# PBE TaTc2P, optimized geometry
data_TaTc2P
_chemical_formula_sum 'Ta2 Tc4 P2'
_space_group_name_H-M_alt 'P 1'
_space_group_IT_number 1
_cell_length_a 5.231
_cell_length_b 5.231
_cell_length_c 7.330
_cell_angle_alpha 90.00
_cell_angle_beta 90.00
_cell_angle_gamma 144.52
loop_
_space_group_symop_operation_xyz
'x,y,z'
loop_
_atom_site_label
_atom_site_fract_x
_atom_site_fract_y
_atom_site_fract_z
Ta1 0.049 0.951 0.750
Ta2 0.951 0.049 0.250
Tc1 0.365 0.635 0.546
Tc2 0.365 0.635 0.954
Tc3 0.635 0.365 0.046
Tc4 0.635 0.365 0.454
P1 0.239 0.761 0.250
P2 0.761 0.239 0.750
# ΔE_f = -494 meV per atom
# Final energy = -79.94 eV/cell

# PBE Pr5GaSn2, optimized geometry
data_Pr5GaSn2
_chemical_formula_sum 'Pr10 Ga2 Sn4'
_space_group_name_H-M_alt 'P 1'
_space_group_IT_number 1
_cell_length_a 8.222
_cell_length_b 12.721
_cell_length_c 4.861
_cell_angle_alpha 90.00
_cell_angle_beta 90.00
_cell_angle_gamma 90.00
loop_
_space_group_symop_operation_xyz
'x,y,z'
loop_
_atom_site_label
_atom_site_fract_x
_atom_site_fract_y
_atom_site_fract_z
Pr1 0.000 0.000 0.000
Pr2 0.155 0.283 0.000
Pr3 0.193 0.568 0.500
Pr4 0.307 0.068 0.500
Pr5 0.345 0.783 0.000
Pr6 0.500 0.500 0.000
Pr7 0.655 0.217 0.000
Pr8 0.693 0.932 0.500
Pr9 0.807 0.432 0.500
Pr10 0.845 0.717 0.000
Ga1 0.000 0.500 0.000
Ga2 0.500 0.000 0.000
Sn1 0.076 0.829 0.500
Sn2 0.424 0.329 0.500
Sn3 0.576 0.671 0.500
Sn4 0.924 0.171 0.500
# ΔE_f = -590 meV per atom
# Final energy = -79.29 eV/cell

# PBE ErZnPtAu, optimized geometry
data_ErZnPtAu
_chemical_formula_sum 'Er1 Zn1 Pt1 Au1'
_space_group_name_H-M_alt 'P 1'
_space_group_IT_number 1
_cell_length_a 4.734
_cell_length_b 4.734
_cell_length_c 4.734
_cell_angle_alpha 60.00
_cell_angle_beta 60.00
_cell_angle_gamma 60.00
loop_
_space_group_symop_operation_xyz
'x,y,z'
loop_
_atom_site_label
_atom_site_fract_x
_atom_site_fract_y
_atom_site_fract_z
Er1 0.000 0.000 0.000
Zn1 0.500 0.500 0.500
Pt1 0.250 0.250 0.250
Au1 0.750 0.750 0.750
# ΔE_f = -752 meV per atom
# Final energy = -18.16 eV/cell

# PBE BaLaBe2, optimized geometry
data_BaLaBe2
_chemical_formula_sum 'Ba1 La1 Be2'
_space_group_name_H-M_alt 'P 1'
_space_group_IT_number 1
_cell_length_a 8.221
_cell_length_b 8.221
_cell_length_c 8.221
_cell_angle_alpha 29.56
_cell_angle_beta 29.56
_cell_angle_gamma 29.56
loop_
_space_group_symop_operation_xyz
'x,y,z'
loop_
_atom_site_label
_atom_site_fract_x
_atom_site_fract_y
_atom_site_fract_z
Ba1 0.000 0.000 0.000
La1 0.165 0.165 0.165
Be1 0.430 0.430 0.430
Be2 0.763 0.763 0.763
# ΔE_f = 253 meV per atom
# Final energy = -13.29 eV/cell

# PBE CaLa4Rh2, optimized geometry
data_CaLa4Rh2
_chemical_formula_sum 'Ca2 La8 Rh4'
_space_group_name_H-M_alt 'P 1'
_space_group_IT_number 1
_cell_length_a 7.549
_cell_length_b 6.973
_cell_length_c 9.173
_cell_angle_alpha 90.00
_cell_angle_beta 114.08
_cell_angle_gamma 90.00
loop_
_space_group_symop_operation_xyz
'x,y,z'
loop_
_atom_site_label
_atom_site_fract_x
_atom_site_fract_y
_atom_site_fract_z
Ca1 0.243 0.250 0.210
Ca2 0.757 0.750 0.790
La1 0.018 0.250 0.786
La2 0.286 0.005 0.575
La3 0.286 0.495 0.575
La4 0.318 0.750 0.993
La5 0.682 0.250 0.007
La6 0.714 0.505 0.425
La7 0.714 0.995 0.425
La8 0.982 0.750 0.214
Rh1 0.045 0.750 0.653
Rh2 0.366 0.750 0.338
Rh3 0.634 0.250 0.662
Rh4 0.955 0.250 0.347
# ΔE_f = -429 meV per atom
# Final energy = -78.83 eV/cell

# PBE B2H3Cl, optimized geometry
data_B2H3Cl
_chemical_formula_sum 'B4 H6 Cl2'
_space_group_name_H-M_alt 'P 1'
_space_group_IT_number 1
_cell_length_a 7.422
_cell_length_b 7.422
_cell_length_c 6.878
_cell_angle_alpha 105.17
_cell_angle_beta 105.17
_cell_angle_gamma 23.95
loop_
_space_group_symop_operation_xyz
'x,y,z'
loop_
_atom_site_label
_atom_site_fract_x
_atom_site_fract_y
_atom_site_fract_z
B1 0.148 0.148 0.136
B2 0.262 0.262 0.062
B3 0.738 0.738 0.938
B4 0.852 0.852 0.864
H1 0.085 0.085 0.985
H2 0.239 0.239 0.231
H3 0.339 0.339 0.191
H4 0.661 0.661 0.809
H5 0.761 0.761 0.769
H6 0.915 0.915 0.015
Cl1 0.382 0.382 0.700
Cl2 0.618 0.618 0.300
# Final energy = -50.72 eV/cell

# PBE Li2TlCdAg, optimized geometry
data_Li2TlCdAg
_chemical_formula_sum 'Li4 Tl2 Cd2 Ag2'
_space_group_name_H-M_alt 'P 1'
_space_group_IT_number 1
_cell_length_a 5.598
_cell_length_b 7.083
_cell_length_c 5.250
_cell_angle_alpha 90.00
_cell_angle_beta 90.00
_cell_angle_gamma 90.00
loop_
_space_group_symop_operation_xyz
'x,y,z'
loop_
_atom_site_label
_atom_site_fract_x
_atom_site_fract_y
_atom_site_fract_z
Li1 0.250 0.194 0.179
Li2 0.250 0.806 0.179
Li3 0.750 0.194 0.821
Li4 0.750 0.806 0.821
Tl1 0.250 0.000 0.687
Tl2 0.750 0.000 0.313
Cd1 0.250 0.500 0.529
Cd2 0.750 0.500 0.471
Ag1 0.000 0.500 0.000
Ag2 0.500 0.500 0.000
# ΔE_f = -117 meV per atom
# Final energy = -21.09 eV/cell

# PBE Pu8Sb5H, optimized geometry
data_Pu8Sb5H
_chemical_formula_sum 'Pu8 Sb5 H1'
_space_group_name_H-M_alt 'P 1'
_space_group_IT_number 1
_cell_length_a 7.689
_cell_length_b 7.689
_cell_length_c 7.689
_cell_angle_alpha 108.76
_cell_angle_beta 108.76
_cell_angle_gamma 110.90
loop_
_space_group_symop_operation_xyz
'x,y,z'
loop_
_atom_site_label
_atom_site_fract_x
_atom_site_fract_y
_atom_site_fract_z
Pu1 0.035 0.194 0.699
Pu2 0.103 0.701 0.743
Pu3 0.299 0.042 0.402
Pu4 0.495 0.336 0.301
Pu5 0.640 0.897 0.598
Pu6 0.664 0.965 0.159
Pu7 0.806 0.505 0.841
Pu8 0.958 0.360 0.257
Sb1 0.000 0.000 0.000
Sb2 0.268 0.612 0.130
Sb3 0.388 0.518 0.657
Sb4 0.482 0.138 0.870
Sb5 0.862 0.732 0.343
H1 0.750 0.250 0.500
# Final energy = -143.77 eV/cell

# PBE NaU2O7, optimized geometry
data_NaU2O7
_chemical_formula_sum 'Na1 U2 O7'
_space_group_name_H-M_alt 'P 1'
_space_group_IT_number 1
_cell_length_a 10.441
_cell_length_b 10.441
_cell_length_c 10.441
_cell_angle_alpha 21.77
_cell_angle_beta 21.77
_cell_angle_gamma 21.77
loop_
_space_group_symop_operation_xyz
'x,y,z'
loop_
_atom_site_label
_atom_site_fract_x
_atom_site_fract_y
_atom_site_fract_z
Na1 0.000 0.000 0.000
U1 0.433 0.433 0.433
U2 0.567 0.567 0.567
O1 0.093 0.093 0.093
O2 0.228 0.228 0.228
O3 0.371 0.371 0.371
O4 0.500 0.500 0.500
O5 0.629 0.629 0.629
O6 0.772 0.772 0.772
O7 0.907 0.907 0.907
# Final energy = -84.95 eV/cell
# Formation energy from raw total energies = -2.63 eV per atom

# PBE Pr2SmErSe6, optimized geometry
data_Pr2SmErSe6
_chemical_formula_sum 'Pr2 Sm1 Er1 Se6'
_space_group_name_H-M_alt 'P 1'
_space_group_IT_number 1
_cell_length_a 7.827
_cell_length_b 7.827
_cell_length_c 7.827
_cell_angle_alpha 56.54
_cell_angle_beta 56.54
_cell_angle_gamma 56.54
loop_
_space_group_symop_operation_xyz
'x,y,z'
loop_
_atom_site_label
_atom_site_fract_x
_atom_site_fract_y
_atom_site_fract_z
Pr1 0.000 0.000 0.000
Pr2 0.499 0.499 0.499
Sm1 0.202 0.202 0.202
Er1 0.700 0.700 0.700
Se1 0.081 0.813 0.419
Se2 0.317 0.591 0.909
Se3 0.419 0.081 0.813
Se4 0.591 0.909 0.317
Se5 0.813 0.419 0.081
Se6 0.909 0.317 0.591
# Final energy = -58.13 eV/cell
# Formation energy from raw total energies = -1.84 eV per atom

# PBE Cs2AgBr6O, optimized geometry
data_Cs2AgBr6O
_chemical_formula_sum 'Cs2 Ag1 Br6 O1'
_space_group_name_H-M_alt 'P 1'
_space_group_IT_number 1
_cell_length_a 7.934
_cell_length_b 7.934
_cell_length_c 7.934
_cell_angle_alpha 125.27
_cell_angle_beta 125.27
_cell_angle_gamma 81.09
loop_
_space_group_symop_operation_xyz
'x,y,z'
loop_
_atom_site_label
_atom_site_fract_x
_atom_site_fract_y
_atom_site_fract_z
Cs1 0.250 0.750 0.500
Cs2 0.750 0.250 0.500
Ag1 0.000 0.000 0.000
Br1 0.209 0.209 0.000
Br2 0.276 0.276 0.552
Br3 0.276 0.724 0.000
Br4 0.724 0.276 0.000
Br5 0.724 0.724 0.448
Br6 0.791 0.791 0.000
O1 0.500 0.500 0.000
# Final energy = -25.75 eV/cell
# Formation energy from raw total energies = -0.62 eV per atom

# PBE ZnP2PbO, optimized geometry
data_ZnP2PbO
_chemical_formula_sum 'Zn1 P2 Pb1 O1'
_space_group_name_H-M_alt 'P 1'
_space_group_IT_number 1
_cell_length_a 4.959
_cell_length_b 4.959
_cell_length_c 3.754
_cell_angle_alpha 90.00
_cell_angle_beta 90.00
_cell_angle_gamma 90.00
loop_
_space_group_symop_operation_xyz
'x,y,z'
loop_
_atom_site_label
_atom_site_fract_x
_atom_site_fract_y
_atom_site_fract_z
Zn1 0.000 0.000 0.000
P1 0.000 0.500 0.000
P2 0.500 0.000 0.000
Pb1 0.500 0.500 0.500
O1 0.000 0.000 0.500
# Final energy = -19.01 eV/cell
# Formation energy from raw total energies = 0.35 eV per atom

# PBE PuZrTcRu, optimized geometry
data_PuZrTcRu
_chemical_formula_sum 'Pu1 Zr1 Tc1 Ru1'
_space_group_name_H-M_alt 'P 1'
_space_group_IT_number 1
_cell_length_a 4.700
_cell_length_b 4.700
_cell_length_c 4.700
_cell_angle_alpha 60.00
_cell_angle_beta 60.00
_cell_angle_gamma 60.00
loop_
_space_group_symop_operation_xyz
'x,y,z'
loop_
_atom_site_label
_atom_site_fract_x
_atom_site_fract_y
_atom_site_fract_z
Pu1 0.000 0.000 0.000
Zr1 0.500 0.500 0.500
Tc1 0.250 0.250 0.250
Ru1 0.750 0.750 0.750
# ΔE_f = -251 meV per atom
# Final energy = -43.53 eV/cell